--- 1 ---
Computed, not measured: a geometry-optimized PmSm8Y2 structure at the PBE level of DFT.

Results
Volume: 386 Å³/f.u.
Crystal system: monoclinic
Total magnetization: 0.00 μB per atom

The structure in POSCAR format:
```
PmSm8Y2
1.0
-2.576 -4.361 -2.539
-4.974 -1.507 8.901
-8.588 2.982 4.857
Pm Y Sm
1 2 8
direct
0.000 0.000 0.000
0.745 0.284 0.284
0.255 0.716 0.716
0.230 0.187 0.187
0.237 0.545 0.545
0.770 0.813 0.813
0.763 0.455 0.455
0.269 0.601 0.135
0.269 0.135 0.601
0.731 0.399 0.865
0.731 0.865 0.399
```

--- 2 ---
Computed, not measured: a geometry-optimized PmSm8Y2 structure at the PBE level of DFT.

Results
Volume: 369 Å³/f.u.
Crystal system: monoclinic
Total magnetization: 0.00 μB per atom

The structure in POSCAR format:
```
PmSm8Y2
1.0
4.949 0.000 -1.318
-0.531 7.833 -1.995
-0.101 -0.080 9.572
Y Sm Pm
2 8 1
direct
0.773 0.364 0.545
0.227 0.636 0.455
0.318 0.091 0.636
0.137 0.183 0.274
0.409 0.545 0.818
0.863 0.817 0.726
0.682 0.909 0.364
0.591 0.455 0.182
0.954 0.273 0.909
0.046 0.727 0.091
0.500 0.000 0.000
```

How do the energies compare? Relative to the most stable structure, in meV/atom: 1 138; 2 0.